Density functional theory data (GGA-PBE) for ScNiMo after structural relaxation.

Properties
Crystal system ... monoclinic
V ... 197.4 Å³ per cell
ρ ... 6.71 g/cm3
Formation energy ... -3.66 kJ per mole of atoms

a b c (Å): 7.1781 3.0939 10.4195
angles (deg): 90.00 121.43 90.00
Fractional coordinates of all 12 atoms:
Sc 0.5499 0.0000 0.7746
Sc 0.5499 0.5000 0.2746
Sc 0.1530 0.0000 0.9327
Sc 0.1530 0.5000 0.4327
Ni 0.5026 0.0000 0.4769
Ni 0.5026 0.5000 0.9769
Ni 0.8658 0.0000 0.4619
Ni 0.8658 0.5000 0.9619
Mo 0.1562 0.0000 0.2016
Mo 0.1562 0.5000 0.7016
Mo 0.8043 0.0000 0.1563
Mo 0.8043 0.5000 0.6563

***

Density functional theory data (GGA-PBE) for ThSiAu after structural relaxation.

Properties
Crystal system ... trigonal
V ... 67.1 Å³ per cell
ρ ... 11.31 g/cm3
Energy relative to the elements, uncorrected ... -773.9 meV per atom

a b c (Å): 4.1614 4.3158 4.3158
angles (deg): 120.00 90.00 90.00
Fractional coordinates of all 3 atoms:
Si 0.1645 0.3333 0.6667
Au 0.1689 0.0000 0.0000
Th 0.6667 0.6667 0.3333

***

Density functional theory data (GGA-PBE) for Sm2Ga3FePt4 after structural relaxation.

Properties
Crystal system ... tetragonal
V ... 187.4 Å³ per cell
ρ ... 11.92 g/cm3
Formation energy ... -81.56 kJ per mole of atoms

a b c (Å): 4.1497 4.1497 10.8853
angles (deg): 90.00 90.00 90.00
Fractional coordinates of all 10 atoms:
Sm 0.5000 0.0000 0.2562
Sm 0.0000 0.5000 0.7438
Ga 0.0000 0.0000 0.5000
Ga 0.5000 0.0000 0.8642
Ga 0.0000 0.5000 0.1358
Fe 0.5000 0.5000 0.5000
Pt 0.5000 0.5000 0.0000
Pt 0.0000 0.0000 0.0000
Pt 0.5000 0.0000 0.6361
Pt 0.0000 0.5000 0.3639

***

Density functional theory data (GGA-PBE) for MnSeI2 after structural relaxation.

Properties
Crystal system ... tetragonal
V ... 266.8 Å³ per cell
ρ ... 4.83 g/cm3
Energy relative to the elements, uncorrected ... 257.2 meV per atom

a b c (Å): 8.1380 8.1380 7.0242
angles (deg): 54.60 54.60 90.00
Fractional coordinates of all 8 atoms:
I 0.5639 0.1250 0.2500
I 0.1861 0.6250 0.2500
I 0.3750 0.4361 0.7500
I 0.8750 0.8139 0.7500
Mn 0.5000 0.5000 0.0000
Mn 0.2500 0.7500 0.5000
Se 0.0000 0.0000 0.0000
Se 0.7500 0.2500 0.5000